Below is a relaxed TmFePt6 crystal, with properties calculated at the PBE-GGA level.

a b c (Å): 4.0150 4.0150 7.9930
angles (deg): 90.00 90.00 90.00
Closest atoms and distances in Å follow each position.
Sites, in units of the cell vectors:
Tm1 0.0000 0.0000 0.0000  12 Pt 2.84-2.92
Fe1 0.0000 0.0000 0.5000  12 Pt 2.75-2.84
Pt1 0.0000 0.5000 0.2647  2 Fe 2.75, 8 Pt 2.75-2.92, 2 Tm 2.92
Pt2 0.0000 0.5000 0.7353  2 Fe 2.75, 8 Pt 2.75-2.92, 2 Tm 2.92
Pt3 0.5000 0.0000 0.2647  2 Fe 2.75, 8 Pt 2.75-2.92, 2 Tm 2.92
Pt4 0.5000 0.0000 0.7353  2 Fe 2.75, 8 Pt 2.75-2.92, 2 Tm 2.92
Pt5 0.5000 0.5000 0.0000  4 Tm 2.84, 8 Pt 2.92
Pt6 0.5000 0.5000 0.5000  8 Pt 2.75, 4 Fe 2.84

Output
DFT formation energy ... -636 meV per atom

***

Below is a relaxed Tm3FePt12 crystal, with properties calculated at the PBE-GGA level.

a b c (Å): 4.0584 4.0584 16.1391
angles (deg): 90.00 90.00 90.00
Closest atoms and distances in Å follow each position.
Sites, in units of the cell vectors:
Tm1 0.0000 0.0000 0.0000  12 Pt 2.87-2.89
Tm2 0.0000 0.0000 0.2547  12 Pt 2.87-2.92
Tm3 0.0000 0.0000 0.7453  12 Pt 2.87-2.92
Fe1 0.0000 0.0000 0.5000  12 Pt 2.75-2.87
Pt1 0.0000 0.5000 0.1278  8 Pt 2.87-2.90, 4 Tm 2.88-2.89
Pt2 0.0000 0.5000 0.3852  2 Fe 2.75, 8 Pt 2.75-2.90, 2 Tm 2.92
Pt3 0.0000 0.5000 0.6148  2 Fe 2.75, 8 Pt 2.75-2.90, 2 Tm 2.92
Pt4 0.0000 0.5000 0.8722  8 Pt 2.87-2.90, 4 Tm 2.88-2.89
Pt5 0.5000 0.0000 0.1278  8 Pt 2.87-2.90, 4 Tm 2.88-2.89
Pt6 0.5000 0.0000 0.3852  2 Fe 2.75, 8 Pt 2.75-2.90, 2 Tm 2.92
Pt7 0.5000 0.0000 0.6148  2 Fe 2.75, 8 Pt 2.75-2.90, 2 Tm 2.92
Pt8 0.5000 0.0000 0.8722  8 Pt 2.87-2.90, 4 Tm 2.88-2.89
Pt9 0.5000 0.5000 0.0000  4 Tm 2.87, 8 Pt 2.89
Pt10 0.5000 0.5000 0.2565  4 Tm 2.87, 8 Pt 2.90
Pt11 0.5000 0.5000 0.5000  8 Pt 2.75, 4 Fe 2.87
Pt12 0.5000 0.5000 0.7435  4 Tm 2.87, 8 Pt 2.90

Output
DFT formation energy ... -859 meV per atom

***

Below is a relaxed Tm2FePt crystal, with properties calculated at the PBE-GGA level.

a b c (Å): 3.3932 3.3932 6.5868
angles (deg): 90.00 90.00 90.00
Closest atoms and distances in Å follow each position.
Sites, in units of the cell vectors:
Tm1 0.0000 0.0000 0.2402  4 Fe 2.87, 4 Pt 2.95, 1 Tm 3.16
Tm2 0.0000 0.0000 0.7598  4 Fe 2.87, 4 Pt 2.95, 1 Tm 3.16
Fe1 0.5000 0.5000 0.0000  8 Tm 2.87
Pt1 0.5000 0.5000 0.5000  8 Tm 2.95, 2 Fe 3.29

Output
DFT formation energy ... -609 meV per atom

***

Below is a relaxed Tm6Fe2Pt crystal, with properties calculated at the PBE-GGA level.

a b c (Å): 8.0810 8.0810 8.0810
angles (deg): 111.69 109.26 107.49
Closest atoms and distances in Å follow each position.
Sites, in units of the cell vectors:
Tm1 0.0154 0.8175 0.1978  3 Fe 2.71-2.78
Tm2 0.2415 0.5464 0.3049  2 Fe 2.83-3.11, 2 Pt 2.91-3.04
Tm3 0.2415 0.9367 0.6951  2 Fe 2.83-3.11, 2 Pt 2.91-3.04
Tm4 0.2737 0.3168 0.5905  3 Fe 2.89-3.10, 1 Pt 3.05
Tm5 0.2737 0.6832 0.9569  3 Fe 2.89-3.10, 1 Pt 3.05
Tm6 0.3803 0.1825 0.1978  3 Fe 2.71-2.78
Tm7 0.6197 0.8175 0.8022  3 Fe 2.71-2.78
Tm8 0.7263 0.3168 0.0431  3 Fe 2.89-3.10, 1 Pt 3.05
Tm9 0.7263 0.6832 0.4095  3 Fe 2.89-3.10, 1 Pt 3.05
Tm10 0.7585 0.0633 0.3049  2 Fe 2.83-3.11, 2 Pt 2.91-3.04
Tm11 0.7585 0.4536 0.6951  2 Fe 2.83-3.11, 2 Pt 2.91-3.04
Tm12 0.9846 0.1825 0.8022  3 Fe 2.71-2.78
Fe1 0.0000 0.1235 0.1235  1 Fe 2.24
Fe2 0.0000 0.8765 0.8765  1 Fe 2.24
Fe3 0.3900 0.3900 0.0000  1 Fe 2.10
Fe4 0.6100 0.6100 0.0000  1 Fe 2.10
Pt1 0.0000 0.5000 0.5000  8 Tm 2.91-3.05
Pt2 0.5000 0.0000 0.5000  8 Tm 3.04-3.32

Output
DFT formation energy ... -344 meV per atom